Entry 1:
Computed, not measured: a relaxed structure of AlH3Au at the PBE level of DFT.

abc: 3.795 3.795 3.795
angles: 90.00 90.00 90.00
Atoms (fractional coordinates):
H 0.000 0.500 0.000
H 0.000 0.000 0.500
H 0.500 0.000 0.000
Au 0.000 0.000 0.000
Al 0.500 0.500 0.500

Output
The symmetry is Pm-3m. The energy relative to the lowest polymorph listed for this composition is 0.00 eV per formula unit.



Entry 2:
Computed, not measured: a relaxed structure of AlH2Au2 at the PBE level of DFT.

abc: 3.075 3.075 6.684
angles: 76.70 76.70 90.00
Atoms (fractional coordinates):
H 0.750 0.250 0.500
H 0.250 0.750 0.500
Au 0.365 0.365 0.270
Au 0.635 0.635 0.730
Al 0.000 0.000 0.000

Output
The symmetry is I4/mmm. The energy relative to the lowest polymorph listed for this composition is 1.08 eV per formula unit.



Entry 3:
Computed, not measured: a relaxed structure of AlH3Au at the PBE level of DFT.

abc: 3.651 3.651 3.651
angles: 90.00 90.00 90.00
Atoms (fractional coordinates):
H 0.000 0.500 0.000
H 0.000 0.000 0.500
H 0.500 0.000 0.000
Au 0.500 0.500 0.500
Al 0.000 0.000 0.000

Output
The symmetry is Pm-3m. The energy relative to the lowest polymorph listed for this composition is 0.28 eV per formula unit.



Entry 4:
Computed, not measured: a relaxed structure of Hf2AlHAu at the PBE level of DFT.

abc: 4.220 4.220 4.357
angles: 90.00 90.00 90.00
Atoms (fractional coordinates):
Hf 0.000 0.500 0.000
Hf 0.500 0.000 0.000
Au 0.500 0.500 0.500
Al 0.000 0.000 0.500
H 0.000 0.000 0.000

Output
The symmetry is P4/mmm. For the raw total energy, the calculation gives -6.364 eV per atom.



Entry 5:
Computed, not measured: a relaxed structure of La2AlHAu at the PBE level of DFT.

abc: 5.078 5.078 4.272
angles: 90.00 90.00 90.00
Atoms (fractional coordinates):
H 0.000 0.000 0.000
Au 0.000 0.000 0.500
Al 0.500 0.500 0.500
La 0.000 0.500 0.000
La 0.500 0.000 0.000

Output
The symmetry is P4/mmm. The energy relative to the lowest polymorph listed for this composition is 0.00 eV per formula unit.



Entry 6:
Computed, not measured: a relaxed structure of Li2AlHAu at the PBE level of DFT.

abc: 3.826 3.826 4.209
angles: 90.00 90.00 90.00
Atoms (fractional coordinates):
H 0.000 0.000 0.000
Au 0.500 0.500 0.500
Al 0.000 0.000 0.500
Li 0.000 0.500 0.000
Li 0.500 0.000 0.000

Output
The symmetry is P4/mmm. For the raw total energy, the calculation gives -3.212 eV per atom.